No. 1
# GGA-PBE Cd2IrAu, optimized geometry
# N(E_F) = 2.32 states/eV/cell
# Formation enthalpy at 0 K = 30 meV per atom
# Total moment = 0.0 μB per cell
# Total energy = -0.2545 Ry per atom
data_Cd2IrAu
_space_group_name_H-M_alt 'C m m m'
_space_group_IT_number 65
_space_group_name_Hall '-C 2 2'
_cell_length_a 5.943
_cell_length_b 7.709
_cell_length_c 3.146
_cell_angle_alpha 90.00
_cell_angle_beta 90.00
_cell_angle_gamma 90.00
loop_
_atom_site_label
_atom_site_type_symbol
_atom_site_fract_x
_atom_site_fract_y
_atom_site_fract_z
Cd1 Cd 0.250 0.250 0.000
Ir1 Ir 0.000 0.000 0.500
Au1 Au 0.000 0.500 0.500

No. 2
# GGA-PBE MgTl4Co, optimized geometry
# N(E_F) = 20.53 states/eV/cell
# Formation enthalpy at 0 K = 683 meV per atom
# Total moment = 7.7 μB per cell
# Total energy = -0.1723 Ry per atom
data_MgTl4Co
_space_group_name_H-M_alt 'F -4 3 m'
_space_group_IT_number 216
_space_group_name_Hall 'F -4 2 3'
_cell_length_a 8.850
_cell_length_b 8.850
_cell_length_c 8.850
_cell_angle_alpha 90.00
_cell_angle_beta 90.00
_cell_angle_gamma 90.00
loop_
_atom_site_label
_atom_site_type_symbol
_atom_site_fract_x
_atom_site_fract_y
_atom_site_fract_z
Mg1 Mg 0.000 0.000 0.000
Tl1 Tl 0.125 0.125 0.625
Co1 Co 0.250 0.250 0.250

No. 3
# GGA-PBE PrEuRh2, optimized geometry
# N(E_F) = 12.32 states/eV/cell
# Formation enthalpy at 0 K = -477 meV per atom
# Total moment = 6.8 μB per cell
# Total energy = -0.5819 Ry per atom
data_PrEuRh2
_space_group_name_H-M_alt 'P 4/m m m'
_space_group_IT_number 123
_space_group_name_Hall '-P 4 2'
_cell_length_a 3.559
_cell_length_b 3.559
_cell_length_c 7.043
_cell_angle_alpha 90.00
_cell_angle_beta 90.00
_cell_angle_gamma 90.00
loop_
_atom_site_label
_atom_site_type_symbol
_atom_site_fract_x
_atom_site_fract_y
_atom_site_fract_z
Pr1 Pr 0.000 0.000 0.000
Eu1 Eu 0.000 0.000 0.500
Rh1 Rh 0.500 0.500 0.240

No. 4
# GGA-PBE Tb3AsP2Rh9, optimized geometry
# N(E_F) = 8.04 states/eV/cell
# Formation enthalpy at 0 K = -694 meV per atom
# Total moment = 0.0 μB per cell
# Total energy = -0.5190 Ry per atom
data_Tb3AsP2Rh9
_space_group_name_H-M_alt 'P -3 m 1'
_space_group_IT_number 164
_space_group_name_Hall '-P 3 2"'
_cell_length_a 6.1144
_cell_length_b 6.1144
_cell_length_c 8.6047
_cell_angle_alpha 90.00
_cell_angle_beta 90.00
_cell_angle_gamma 120.00
loop_
_atom_site_label
_atom_site_type_symbol
_atom_site_fract_x
_atom_site_fract_y
_atom_site_fract_z
Tb1 Tb 0.0000 0.0000 0.0000
Tb2 Tb 0.3333 0.6667 0.6974
As1 As 0.0000 0.0000 0.5000
P1 P 0.3333 0.6667 0.1688
Rh1 Rh 0.0000 0.5000 0.0000
Rh2 Rh 0.1507 0.3014 0.2858

No. 5
# GGA-PBE AcLaSmSe3, optimized geometry
# N(E_F) = 8.00 states/eV/cell
# Energy relative to the elements, uncorrected = -1.851 eV/atom
# Total moment = 0.0 μB per cell
# Total energy = -0.4326 Ry per atom
data_AcLaSmSe3
_space_group_name_H-M_alt 'P 1 21/m 1'
_space_group_IT_number 11
_cell_length_a 7.478
_cell_length_b 4.241
_cell_length_c 11.176
_cell_angle_alpha 90.00
_cell_angle_beta 102.76
_cell_angle_gamma 90.00
loop_
_space_group_symop_operation_xyz
'x,y,z'
'-x,-y,-z'
'-x,y+1/2,-z'
'x,-y+1/2,z'
loop_
_atom_site_label
_atom_site_type_symbol
_atom_site_fract_x
_atom_site_fract_y
_atom_site_fract_z
Ac1 Ac 0.156 0.250 0.194
La1 La 0.267 0.750 0.557
Sm1 Sm 0.379 0.250 0.872
Se1 Se 0.050 0.250 0.668
Se2 Se 0.226 0.750 0.999
Se3 Se 0.446 0.750 0.339

No. 6
# GGA-PBE ScAg2Mo, optimized geometry
# N(E_F) = 4.16 states/eV/cell
# Formation enthalpy at 0 K = 251 meV per atom
# Total moment = 0.5 μB per cell
# Total energy = -0.4017 Ry per atom
data_ScAg2Mo
_space_group_name_H-M_alt 'P 4/m m m'
_space_group_IT_number 123
_space_group_name_Hall '-P 4 2'
_cell_length_a 4.072
_cell_length_b 4.072
_cell_length_c 4.307
_cell_angle_alpha 90.00
_cell_angle_beta 90.00
_cell_angle_gamma 90.00
loop_
_atom_site_label
_atom_site_type_symbol
_atom_site_fract_x
_atom_site_fract_y
_atom_site_fract_z
Sc1 Sc 0.000 0.000 0.000
Ag1 Ag 0.000 0.500 0.500
Mo1 Mo 0.500 0.500 0.000

No. 7
# GGA-PBE MgSbBr2, optimized geometry
# N(E_F) = 1.92 states/eV/cell
# Energy relative to the elements, uncorrected = -0.319 eV/atom
# Total moment = 0.0 μB per cell
# Total energy = -0.1899 Ry per atom
data_MgSbBr2
_space_group_name_H-M_alt 'P m m m'
_space_group_IT_number 47
_cell_length_a 3.557
_cell_length_b 4.757
_cell_length_c 6.257
_cell_angle_alpha 90.00
_cell_angle_beta 90.00
_cell_angle_gamma 90.00
loop_
_space_group_symop_operation_xyz
'x,y,z'
'-x,-y,-z'
'-x,-y,z'
'x,y,-z'
'x,-y,-z'
'-x,y,z'
'-x,y,-z'
'x,-y,z'
loop_
_atom_site_label
_atom_site_type_symbol
_atom_site_fract_x
_atom_site_fract_y
_atom_site_fract_z
Mg1 Mg 0.000 0.000 0.000
Sb1 Sb 0.500 0.000 0.500
Br1 Br 0.000 0.500 0.500
Br2 Br 0.500 0.500 0.000